A plane-wave DFT calculation with PBE was carried out for a geometry-optimized Al3FeSi2 structure.

Raw total energy: -5.3218 eV per atom

Cell lengths 6.0472, 6.0551, 9.4866 Å; angles 90.00, 90.00, 90.00 degrees
Closest atoms and distances in Å follow each position.
Fractional positions:
Si  0.3367  0.8278  0.6555  2 Fe 2.43-2.45, 4 Al 2.60-2.72, 1 Si 2.67
Si  0.1633  0.3278  0.6555  2 Fe 2.43-2.45, 4 Al 2.60-2.72, 1 Si 2.67
Si  0.3367  0.1722  0.1555  2 Fe 2.43-2.45, 4 Al 2.60-2.72, 1 Si 2.67
Si  0.8367  0.3278  0.8445  2 Fe 2.43-2.45, 4 Al 2.60-2.72, 1 Si 2.67
Si  0.6633  0.1722  0.3445  2 Fe 2.43-2.45, 4 Al 2.60-2.72, 1 Si 2.67
Si  0.1633  0.6722  0.1555  2 Fe 2.43-2.45, 4 Al 2.60-2.72, 1 Si 2.67
Si  0.6633  0.8278  0.8445  2 Fe 2.43-2.45, 4 Al 2.60-2.72, 1 Si 2.67
Si  0.8367  0.6722  0.3445  2 Fe 2.43-2.45, 4 Al 2.60-2.72, 1 Si 2.67
Fe  0.5000  0.5123  0.2500  6 Al 2.37-2.59, 4 Si 2.43-2.45
Fe  0.5000  0.4877  0.7500  6 Al 2.37-2.59, 4 Si 2.43-2.45
Fe  0.0000  0.0123  0.2500  6 Al 2.37-2.59, 4 Si 2.43-2.45
Fe  0.0000  0.9877  0.7500  6 Al 2.37-2.59, 4 Si 2.43-2.45
Al  0.1389  0.3676  0.3650  2 Fe 2.55-2.59, 4 Si 2.60-2.77, 3 Al 2.66-2.75
Al  0.5000  0.5000  0.5000  2 Fe 2.37, 2 Al 2.66
Al  0.1389  0.6324  0.8650  2 Fe 2.55-2.59, 4 Si 2.60-2.77, 3 Al 2.66-2.75
Al  0.8611  0.6324  0.6350  2 Fe 2.55-2.59, 4 Si 2.60-2.77, 3 Al 2.66-2.75
Al  0.0000  0.0000  0.5000  2 Fe 2.37, 2 Al 2.66
Al  0.3611  0.8676  0.3650  2 Fe 2.55-2.59, 4 Si 2.60-2.77, 3 Al 2.66-2.75
Al  0.0000  0.0000  0.0000  2 Fe 2.37, 2 Al 2.66
Al  0.3611  0.1324  0.8650  2 Fe 2.55-2.59, 4 Si 2.60-2.77, 3 Al 2.66-2.75
Al  0.8611  0.3676  0.1350  2 Fe 2.55-2.59, 4 Si 2.60-2.77, 3 Al 2.66-2.75
Al  0.6389  0.1324  0.6350  2 Fe 2.55-2.59, 4 Si 2.60-2.77, 3 Al 2.66-2.75
Al  0.6389  0.8676  0.1350  2 Fe 2.55-2.59, 4 Si 2.60-2.77, 3 Al 2.66-2.75
Al  0.5000  0.5000  0.0000  2 Fe 2.37, 2 Al 2.66